# LiSc2Be

A relaxed LiSc2Be crystal (PBEsol, the Alexandria database).

## Properties
The calculation puts the density at 2.304 Mg/m³. As for the space group: R3m, No. 160. For the formation energy, the calculation gives 0.325 eV/atom. Its spin magnetization is 0.00 μB/atom.

Cell lengths 3.115, 3.115, 9.256 Å; angles 80.31, 80.31, 60.00 degrees
Sites, in units of the cell vectors:
Be 0.502 0.502 0.493
Li 0.235 0.235 0.294
Sc 0.999 0.999 0.003
Sc 0.763 0.763 0.710